Run a
# YSc2Co, optimized geometry, DFT PBE-GGA
# density of states at the Fermi level	8.1	states/eV/cell
data_YSc2Co
_chemical_formula_sum 'Y2 Sc4 Co2'
_cell_length_a 11.259
_cell_length_b 3.419
_cell_length_c 5.008
_cell_angle_alpha 90.00
_cell_angle_beta 116.41
_cell_angle_gamma 90.00
_space_group_name_H-M_alt 'C 1 m 1'
_space_group_IT_number 8
_space_group_name_Hall 'C -2y'
loop_
_atom_site_label
_atom_site_fract_x
_atom_site_fract_y
_atom_site_fract_z
Y1 0.000 0.000 0.000
Sc1 0.108 0.500 0.608
Sc2 0.300 0.500 0.299
Co1 0.291 0.000 0.792

=====

Run b
# YSc2Co, optimized geometry, DFT PBE-GGA
# density of states at the Fermi level	23.3	states/eV/cell
data_YSc2Co
_chemical_formula_sum 'Y4 Sc8 Co4'
_cell_length_a 7.904
_cell_length_b 7.904
_cell_length_c 5.869
_cell_angle_alpha 90.00
_cell_angle_beta 90.00
_cell_angle_gamma 90.00
_space_group_name_H-M_alt 'I -4 2 d'
_space_group_IT_number 122
_space_group_name_Hall 'I -4 2bw'
loop_
_atom_site_label
_atom_site_fract_x
_atom_site_fract_y
_atom_site_fract_z
Y1 0.000 0.000 0.000
Sc1 0.166 0.250 0.625
Co1 0.000 0.000 0.500

=====

run a comes first in stability; the runner-up is 13.6 kJ/mol of atoms higher.